Record 1
VASP calculation (PBE) on a geometry-optimized Th2Mg5Zn12 structure.

Values from the calculation:
* space group: R-3m (166)
* spin magnetization: 0.0 μB per cell
* E_form: -0.161 eV/atom

Cell and atoms, written as POSCAR:
```
Th2Mg5Zn12
1.0
4.6464 2.6826 4.6155
-4.6464 2.6826 4.6155
0.0000 -5.3652 4.6155
Th Mg Zn
2 5 12
Direct
0.1570 0.1570 0.1570 Th
0.8430 0.8430 0.8430 Th
0.0000 0.5000 0.5000 Mg
0.3999 0.3999 0.3999 Mg
0.5000 0.0000 0.5000 Mg
0.5000 0.5000 0.0000 Mg
0.6001 0.6001 0.6001 Mg
0.1409 0.1409 0.6622 Zn
0.1409 0.6622 0.1409 Zn
0.2063 0.5000 0.7937 Zn
0.2063 0.7937 0.5000 Zn
0.3378 0.8591 0.8591 Zn
0.5000 0.2063 0.7937 Zn
0.5000 0.7937 0.2063 Zn
0.6622 0.1409 0.1409 Zn
0.7937 0.2063 0.5000 Zn
0.7937 0.5000 0.2063 Zn
0.8591 0.3378 0.8591 Zn
0.8591 0.8591 0.3378 Zn
```

Record 2
VASP calculation (PBE) on a geometry-optimized Th2MgZn structure.

Values from the calculation:
* relative energy among the computed polymorphs: 0.000 eV/atom
* space group: P4/mmm (123)
* spin magnetization: 0.0 μB per cell
* E_form: -0.028 eV/atom

Cell and atoms, written as POSCAR:
```
Th2MgZn
1.0
3.7415 0.0000 0.0000
0.0000 3.7415 0.0000
0.0000 0.0000 7.5715
Th Mg Zn
2 1 1
Direct
0.0000 0.0000 0.2358 Th
0.0000 0.0000 0.7642 Th
0.5000 0.5000 0.5000 Mg
0.5000 0.5000 0.0000 Zn
```

Record 3
VASP calculation (PBE) on a geometry-optimized ThMg2Zn2 structure.

Values from the calculation:
* space group: I4/mmm (139)
* spin magnetization: 0.0 μB per cell
* E_form: -0.152 eV/atom

Cell and atoms, written as POSCAR:
```
ThMg2Zn2
1.0
4.2906 0.0000 0.0000
0.0000 4.2906 0.0000
0.0000 0.0000 11.9347
Th Mg Zn
2 4 4
Direct
0.0000 0.0000 0.0000 Th
0.5000 0.5000 0.5000 Th
0.0000 0.5000 0.2500 Mg
0.0000 0.5000 0.7500 Mg
0.5000 0.0000 0.2500 Mg
0.5000 0.0000 0.7500 Mg
0.0000 0.0000 0.3977 Zn
0.0000 0.0000 0.6023 Zn
0.5000 0.5000 0.1023 Zn
0.5000 0.5000 0.8977 Zn
```

Record 4
VASP calculation (PBE) on a geometry-optimized Th3Mg2Zn7 structure.

Values from the calculation:
* space group: R-3m (166)
* spin magnetization: 0.0 μB per cell
* E_form: -0.178 eV/atom

Cell and atoms, written as POSCAR:
```
Th3Mg2Zn7
1.0
2.8291 1.6334 8.8179
-2.8291 1.6334 8.8179
0.0000 -3.2667 8.8179
Th Mg Zn
3 2 7
Direct
0.0000 0.0000 0.0000 Th
0.1403 0.1403 0.1403 Th
0.8597 0.8597 0.8597 Th
0.3344 0.3344 0.3344 Mg
0.6656 0.6656 0.6656 Mg
0.0771 0.5882 0.5882 Zn
0.4118 0.4118 0.9229 Zn
0.4118 0.9229 0.4118 Zn
0.5000 0.5000 0.5000 Zn
0.5882 0.0771 0.5882 Zn
0.5882 0.5882 0.0771 Zn
0.9229 0.4118 0.4118 Zn
```

Record 5
VASP calculation (PBE) on a geometry-optimized ThMg2Zn structure.

Values from the calculation:
* space group: P4/mmm (123)
* spin magnetization: 0.0 μB per cell
* E_form: 0.018 eV/atom

Cell and atoms, written as POSCAR:
```
ThMg2Zn
1.0
4.4504 0.0000 0.0000
0.0000 4.4504 0.0000
0.0000 0.0000 4.9444
Th Mg Zn
1 2 1
Direct
0.0000 0.0000 0.0000 Th
0.0000 0.5000 0.5000 Mg
0.5000 0.0000 0.5000 Mg
0.5000 0.5000 0.0000 Zn
```

Record 6
VASP calculation (PBE) on a geometry-optimized Th2MgZn4 structure.

Values from the calculation:
* space group: I4/mmm (139)
* spin magnetization: 0.0 μB per cell
* E_form: 0.210 eV/atom

Cell and atoms, written as POSCAR:
```
Th2MgZn4
1.0
4.6736 0.0000 0.0000
0.0000 4.6736 0.0000
0.0000 0.0000 15.5162
Th Mg Zn
4 2 8
Direct
0.0000 0.0000 0.1384 Th
0.0000 0.0000 0.8616 Th
0.5000 0.5000 0.3616 Th
0.5000 0.5000 0.6384 Th
0.0000 0.0000 0.5000 Mg
0.5000 0.5000 0.0000 Mg
0.0000 0.0000 0.3309 Zn
0.0000 0.0000 0.6691 Zn
0.0000 0.5000 0.0000 Zn
0.0000 0.5000 0.5000 Zn
0.5000 0.0000 0.0000 Zn
0.5000 0.0000 0.5000 Zn
0.5000 0.5000 0.1691 Zn
0.5000 0.5000 0.8309 Zn
```

Record 7
VASP calculation (PBE) on a geometry-optimized ThMg2Zn structure.

Values from the calculation:
* space group: R3m (160)
* spin magnetization: 0.0 μB per cell
* E_form: 0.065 eV/atom

Cell and atoms, written as POSCAR:
```
ThMg2Zn
1.0
3.2835 0.0000 0.0000
-1.6417 2.8436 0.0000
0.0000 0.0000 31.2044
Th Mg Zn
3 6 3
Direct
0.0000 0.0000 0.0000 Th
0.3333 0.6667 0.6667 Th
0.6667 0.3333 0.3333 Th
0.0000 0.0000 0.2389 Mg
0.0000 0.0000 0.4293 Mg
0.3333 0.6667 0.0960 Mg
0.3333 0.6667 0.9055 Mg
0.6667 0.3333 0.5722 Mg
0.6667 0.3333 0.7626 Mg
0.0000 0.0000 0.8341 Zn
0.3333 0.6667 0.5008 Zn
0.6667 0.3333 0.1675 Zn
```

Record 8
VASP calculation (PBE) on a geometry-optimized Th2MgZn5 structure.

Values from the calculation:
* space group: Cmcm (63)
* spin magnetization: 0.0 μB per cell
* E_form: -0.175 eV/atom

Cell and atoms, written as POSCAR:
```
Th2MgZn5
1.0
2.2191 -8.2545 0.0000
2.2191 8.2545 0.0000
0.0000 0.0000 9.1353
Th Mg Zn
4 2 10
Direct
0.0000 0.0000 0.0000 Th
0.0000 0.0000 0.5000 Th
0.2039 0.7961 0.7500 Th
0.7961 0.2039 0.2500 Th
0.4449 0.5551 0.2500 Mg
0.5551 0.4449 0.7500 Mg
0.1866 0.8134 0.1076 Zn
0.1866 0.8134 0.3924 Zn
0.3486 0.6514 0.0161 Zn
0.3486 0.6514 0.4839 Zn
0.3976 0.6024 0.7500 Zn
0.6024 0.3976 0.2500 Zn
0.6514 0.3486 0.5161 Zn
0.6514 0.3486 0.9839 Zn
0.8134 0.1866 0.6076 Zn
0.8134 0.1866 0.8924 Zn
```

Record 9
VASP calculation (PBE) on a geometry-optimized ThMgZn3 structure.

Values from the calculation:
* space group: Cmcm (63)
* spin magnetization: 0.0 μB per cell
* E_form: -0.188 eV/atom

Cell and atoms, written as POSCAR:
```
ThMgZn3
1.0
1.7880 -12.8837 0.0000
1.7880 12.8837 0.0000
0.0000 0.0000 4.5214
Th Mg Zn
2 2 6
Direct
0.0764 0.9236 0.7500 Th
0.9236 0.0764 0.2500 Th
0.2124 0.7876 0.2500 Mg
0.7876 0.2124 0.7500 Mg
0.3206 0.6794 0.2500 Zn
0.3720 0.6280 0.7500 Zn
0.4745 0.5255 0.7500 Zn
0.5255 0.4745 0.2500 Zn
0.6280 0.3720 0.2500 Zn
0.6794 0.3206 0.7500 Zn
```

Record 10
VASP calculation (PBE) on a geometry-optimized ThMgZn4 structure.

Values from the calculation:
* space group: I-4m2 (119)
* spin magnetization: 0.0 μB per cell
* E_form: -0.064 eV/atom

Cell and atoms, written as POSCAR:
```
ThMgZn4
1.0
4.2562 0.0000 0.0000
0.0000 4.2562 0.0000
0.0000 0.0000 14.0996
Th Mg Zn
2 2 8
Direct
0.0000 0.0000 0.0000 Th
0.5000 0.5000 0.5000 Th
0.0000 0.5000 0.2500 Mg
0.5000 0.0000 0.7500 Mg
0.0000 0.0000 0.4127 Zn
0.0000 0.0000 0.5873 Zn
0.0000 0.5000 0.6663 Zn
0.0000 0.5000 0.8337 Zn
0.5000 0.0000 0.1663 Zn
0.5000 0.0000 0.3337 Zn
0.5000 0.5000 0.0873 Zn
0.5000 0.5000 0.9127 Zn
```

Record 11
VASP calculation (PBE) on a geometry-optimized Th2MgZn structure.

Values from the calculation:
* relative energy among the computed polymorphs: 0.259 eV/atom
* space group: R-3m (166)
* spin magnetization: 0.0 μB per cell
* E_form: 0.231 eV/atom

Cell and atoms, written as POSCAR:
```
Th2MgZn
1.0
3.3588 0.0000 0.0000
-1.6794 2.9088 0.0000
0.0000 0.0000 34.9863
Th Mg Zn
6 3 3
Direct
0.0000 0.0000 0.0958 Th
0.0000 0.0000 0.9042 Th
0.3333 0.6667 0.5708 Th
0.3333 0.6667 0.7625 Th
0.6667 0.3333 0.2375 Th
0.6667 0.3333 0.4292 Th
0.0000 0.0000 0.0000 Mg
0.3333 0.6667 0.6667 Mg
0.6667 0.3333 0.3333 Mg
0.0000 0.0000 0.5000 Zn
0.3333 0.6667 0.1667 Zn
0.6667 0.3333 0.8333 Zn
```

Record 12
VASP calculation (PBE) on a geometry-optimized Th2MgZn10 structure.

Values from the calculation:
* space group: P2_1/c (14)
* spin magnetization: 0.0 μB per cell
* E_form: -0.102 eV/atom

Cell and atoms, written as POSCAR:
```
Th2MgZn10
1.0
5.5280 0.0000 0.0000
0.0000 11.6485 0.0000
-1.4949 0.0000 7.7056
Th Mg Zn
4 2 20
Direct
0.0560 0.0962 0.2226 Th
0.0560 0.4038 0.7226 Th
0.9440 0.5962 0.2774 Th
0.9440 0.9038 0.7774 Th
0.5000 0.0000 0.0000 Mg
0.5000 0.5000 0.5000 Mg
0.1523 0.6424 0.9459 Zn
0.1523 0.8576 0.4459 Zn
0.1941 0.1517 0.8288 Zn
0.1941 0.3483 0.3288 Zn
0.2566 0.6727 0.6364 Zn
0.2566 0.8273 0.1364 Zn
0.3933 0.0209 0.6297 Zn
0.3933 0.4791 0.1297 Zn
0.4636 0.2396 0.0958 Zn
0.4636 0.2604 0.5958 Zn
0.5364 0.7396 0.4042 Zn
0.5364 0.7604 0.9042 Zn
0.6067 0.5209 0.8703 Zn
0.6067 0.9791 0.3703 Zn
0.7434 0.1727 0.8636 Zn
0.7434 0.3273 0.3636 Zn
0.8059 0.6517 0.6712 Zn
0.8059 0.8483 0.1712 Zn
0.8477 0.1424 0.5541 Zn
0.8477 0.3576 0.0541 Zn
```

Record 13
VASP calculation (PBE) on a geometry-optimized ThMg6Zn6 structure.

Values from the calculation:
* space group: Immm (71)
* spin magnetization: 0.0 μB per cell
* E_form: -0.139 eV/atom

Cell and atoms, written as POSCAR:
```
ThMg6Zn6
1.0
-2.7281 4.7349 4.7823
2.7281 -4.7349 4.7823
2.7281 4.7349 -4.7823
Th Mg Zn
1 6 6
Direct
0.0000 0.0000 0.0000 Th
0.2032 0.5000 0.7032 Mg
0.3471 0.3471 0.0000 Mg
0.3493 0.0000 0.3493 Mg
0.6507 0.0000 0.6507 Mg
0.6529 0.6529 0.0000 Mg
0.7968 0.5000 0.2968 Mg
0.0000 0.0000 0.5000 Zn
0.0000 0.5000 0.0000 Zn
0.2198 0.7198 0.5000 Zn
0.5000 0.0000 0.0000 Zn
0.5000 0.5000 0.5000 Zn
0.7802 0.2802 0.5000 Zn
```

Record 14
VASP calculation (PBE) on a geometry-optimized ThMgZn11 structure.

Values from the calculation:
* space group: C2/m (12)
* spin magnetization: 0.0 μB per cell
* E_form: -0.143 eV/atom

Cell and atoms, written as POSCAR:
```
ThMgZn11
1.0
2.6728 -6.3090 0.0000
2.6728 6.3090 0.0000
-2.6719 0.0000 6.4289
Th Mg Zn
1 1 11
Direct
0.0000 0.0000 0.0000 Th
0.5000 0.5000 0.5000 Mg
0.0000 0.0000 0.5000 Zn
0.0000 0.5000 0.0000 Zn
0.0134 0.6536 0.6480 Zn
0.2771 0.4982 0.7852 Zn
0.3464 0.9866 0.3520 Zn
0.4982 0.2771 0.7852 Zn
0.5000 0.0000 0.0000 Zn
0.5018 0.7229 0.2148 Zn
0.6536 0.0134 0.6480 Zn
0.7229 0.5018 0.2148 Zn
0.9866 0.3464 0.3520 Zn
```

Record 15
VASP calculation (PBE) on a geometry-optimized Th5Mg12Zn3 structure.

Values from the calculation:
* space group: Ia-3d (230)
* spin magnetization: 0.0 μB per cell
* E_form: 0.835 eV/atom

Cell and atoms, written as POSCAR:
```
Th5Mg12Zn3
1.0
-8.6287 8.6287 8.6287
8.6287 -8.6287 8.6287
8.6287 8.6287 -8.6287
Th Mg Zn
20 48 12
Direct
0.0000 0.0000 0.0000 Th
0.0000 0.0000 0.5000 Th
0.0000 0.5000 0.0000 Th
0.0000 0.5000 0.5000 Th
0.1250 0.7500 0.8750 Th
0.1250 0.8750 0.2500 Th
0.2500 0.1250 0.8750 Th
0.2500 0.6250 0.3750 Th
0.3750 0.2500 0.6250 Th
0.3750 0.6250 0.7500 Th
0.5000 0.0000 0.0000 Th
0.5000 0.0000 0.5000 Th
0.5000 0.5000 0.0000 Th
0.5000 0.5000 0.5000 Th
0.6250 0.3750 0.2500 Th
0.6250 0.7500 0.3750 Th
0.7500 0.3750 0.6250 Th
0.7500 0.8750 0.1250 Th
0.8750 0.1250 0.7500 Th
0.8750 0.2500 0.1250 Th
0.0444 0.6364 0.3856 Mg
0.0444 0.9080 0.6588 Mg
0.0920 0.2508 0.1364 Mg
0.0920 0.3412 0.9556 Mg
0.1144 0.7508 0.6588 Mg
0.1144 0.8636 0.4556 Mg
0.1364 0.0920 0.2508 Mg
0.1364 0.5444 0.8856 Mg
0.1588 0.2508 0.6144 Mg
0.1588 0.4080 0.5444 Mg
0.2492 0.3412 0.8856 Mg
0.2492 0.4080 0.3636 Mg
0.2508 0.1364 0.0920 Mg
0.2508 0.6144 0.1588 Mg
0.3412 0.8856 0.2492 Mg
0.3412 0.9556 0.0920 Mg
0.3636 0.2492 0.4080 Mg
0.3636 0.6144 0.9556 Mg
0.3856 0.0444 0.6364 Mg
0.3856 0.8412 0.7492 Mg
0.4080 0.3636 0.2492 Mg
0.4080 0.5444 0.1588 Mg
0.4556 0.1144 0.8636 Mg
0.4556 0.8412 0.5920 Mg
0.5444 0.1588 0.4080 Mg
0.5444 0.8856 0.1364 Mg
0.5920 0.4556 0.8412 Mg
0.5920 0.6364 0.7508 Mg
0.6144 0.1588 0.2508 Mg
0.6144 0.9556 0.3636 Mg
0.6364 0.3856 0.0444 Mg
0.6364 0.7508 0.5920 Mg
0.6588 0.0444 0.9080 Mg
0.6588 0.1144 0.7508 Mg
0.7492 0.3856 0.8412 Mg
0.7492 0.8636 0.9080 Mg
0.7508 0.5920 0.6364 Mg
0.7508 0.6588 0.1144 Mg
0.8412 0.5920 0.4556 Mg
0.8412 0.7492 0.3856 Mg
0.8636 0.4556 0.1144 Mg
0.8636 0.9080 0.7492 Mg
0.8856 0.1364 0.5444 Mg
0.8856 0.2492 0.3412 Mg
0.9080 0.6588 0.0444 Mg
0.9080 0.7492 0.8636 Mg
0.9556 0.0920 0.3412 Mg
0.9556 0.3636 0.6144 Mg
0.1250 0.2500 0.3750 Zn
0.1250 0.3750 0.7500 Zn
0.2500 0.3750 0.1250 Zn
0.2500 0.8750 0.6250 Zn
0.3750 0.1250 0.2500 Zn
0.3750 0.7500 0.1250 Zn
0.6250 0.2500 0.8750 Zn
0.6250 0.8750 0.7500 Zn
0.7500 0.1250 0.3750 Zn
0.7500 0.6250 0.8750 Zn
0.8750 0.6250 0.2500 Zn
0.8750 0.7500 0.6250 Zn
```

Record 16
VASP calculation (PBE) on a geometry-optimized Th2MgZr structure.

Values from the calculation:
* relative energy among the computed polymorphs: 0.036 eV/atom
* space group: Fm-3m (225)
* spin magnetization: 0.0 μB per cell
* E_form: 0.127 eV/atom

Cell and atoms, written as POSCAR:
```
Th2MgZr
1.0
7.6528 0.0000 0.0000
0.0000 7.6528 0.0000
0.0000 0.0000 7.6528
Th Mg Zr
8 4 4
Direct
0.2500 0.2500 0.2500 Th
0.2500 0.2500 0.7500 Th
0.2500 0.7500 0.2500 Th
0.2500 0.7500 0.7500 Th
0.7500 0.2500 0.2500 Th
0.7500 0.2500 0.7500 Th
0.7500 0.7500 0.2500 Th
0.7500 0.7500 0.7500 Th
0.0000 0.0000 0.0000 Mg
0.0000 0.5000 0.5000 Mg
0.5000 0.0000 0.5000 Mg
0.5000 0.5000 0.0000 Mg
0.0000 0.0000 0.5000 Zr
0.0000 0.5000 0.0000 Zr
0.5000 0.0000 0.0000 Zr
0.5000 0.5000 0.5000 Zr
```

Record 17
VASP calculation (PBE) on a geometry-optimized ThMgZr structure.

Values from the calculation:
* relative energy among the computed polymorphs: 0.686 eV/atom
* space group: P4_2/mmc (131)
* spin magnetization: 0.0 μB per cell
* E_form: 0.752 eV/atom

Cell and atoms, written as POSCAR:
```
ThMgZr
1.0
8.8952 0.0000 0.0000
0.0000 8.8952 0.0000
0.0000 0.0000 4.9579
Th Mg Zr
4 4 4
Direct
0.0000 0.1850 0.0000 Th
0.0000 0.8150 0.0000 Th
0.1850 0.0000 0.5000 Th
0.8150 0.0000 0.5000 Th
0.1709 0.5000 0.0000 Mg
0.5000 0.1709 0.5000 Mg
0.5000 0.8291 0.5000 Mg
0.8291 0.5000 0.0000 Mg
0.3428 0.5000 0.5000 Zr
0.5000 0.3428 0.0000 Zr
0.5000 0.6572 0.0000 Zr
0.6572 0.5000 0.5000 Zr
```

Record 18
VASP calculation (PBE) on a geometry-optimized Th2MgZr structure.

Values from the calculation:
* relative energy among the computed polymorphs: 0.043 eV/atom
* space group: P4/mmm (123)
* spin magnetization: 0.0 μB per cell
* E_form: 0.133 eV/atom

Cell and atoms, written as POSCAR:
```
Th2MgZr
1.0
3.8865 0.0000 0.0000
0.0000 3.8865 0.0000
0.0000 0.0000 7.5075
Th Mg Zr
2 1 1
Direct
0.0000 0.0000 0.2444 Th
0.0000 0.0000 0.7556 Th
0.5000 0.5000 0.5000 Mg
0.5000 0.5000 0.0000 Zr
```

Record 19
VASP calculation (PBE) on a geometry-optimized ThMgZr2 structure.

Values from the calculation:
* relative energy among the computed polymorphs: 0.057 eV/atom
* space group: Cm (8)
* spin magnetization: 0.0 μB per cell
* E_form: 0.117 eV/atom

Cell and atoms, written as POSCAR:
```
ThMgZr2
1.0
5.7194 0.0000 0.0000
0.0000 3.3038 0.0000
-1.8953 0.0000 10.7251
Th Mg Zr
2 2 4
Direct
0.0000 0.0000 0.0000 Th
0.5000 0.5000 0.0000 Th
0.3334 0.5000 0.5004 Mg
0.8334 0.0000 0.5004 Mg
0.2478 0.0000 0.7426 Zr
0.4187 0.0000 0.2566 Zr
0.7478 0.5000 0.7426 Zr
0.9187 0.5000 0.2566 Zr
```

Record 20
VASP calculation (PBE) on a geometry-optimized ThMgZr2 structure.

Values from the calculation:
* relative energy among the computed polymorphs: 0.000 eV/atom
* space group: P4/mmm (123)
* spin magnetization: 0.0 μB per cell
* E_form: 0.061 eV/atom

Cell and atoms, written as POSCAR:
```
ThMgZr2
1.0
4.6960 0.0000 0.0000
0.0000 4.6960 0.0000
0.0000 0.0000 4.5028
Th Mg Zr
1 1 2
Direct
0.0000 0.0000 0.0000 Th
0.5000 0.5000 0.0000 Mg
0.0000 0.5000 0.5000 Zr
0.5000 0.0000 0.5000 Zr
```